Entry from Alexandria: HfMgTeN2 after structural relaxation (PBE).

Output
Theoretical density (g cm⁻³): 6.8
Crystal system: tetragonal
E (eV per formula unit): -26.2
Polymorph energy (0 for the lowest one) (eV per atom): 1.032
Energy relative to the elements, uncorrected (eV per atom): 1.025

Unit cell a=4.0436 b=4.0436 c=5.3224 alpha=90.00 beta=90.00 gamma=90.00
Space group P4/mmm (No. 123)
Symmetry-distinct sites (fractional):
Hf: 0.0000 0.0000 0.0000
Mg: 0.5000 0.5000 0.5000
Te: 0.5000 0.5000 0.0000
N: 0.0000 0.5000 0.5000